# 1
VASP calculation (PBE) on a relaxed structure of Na2Ca2BiO6.

abc: 5.9953 10.3607 5.9235
angles: 90.00 109.25 90.00
Closest atoms and distances in Å follow each position.
Space group C2/m (No. 12)
Unique sites:
Na 0.0000 0.1588 0.0000 (multiplicity 4)  4 O 2.45-2.46
Ca 0.0000 0.3404 0.5000 (multiplicity 4)  6 O 2.35-2.44
Bi 0.0000 0.0000 0.5000 (multiplicity 2)  6 O 2.12-2.18
O 0.2077 0.1593 0.7046 (multiplicity 8)  1 Bi 2.18, 2 Ca 2.35-2.44
O 0.2289 0.0000 0.2922 (multiplicity 4)  1 Bi 2.12, 2 Ca 2.36

Density: 4.122 g cm⁻³
Total moment: 1.06 μB per formula unit
Total energy: -119.01 eV per cell
ΔE_f (raw): -19.23 eV per formula unit



# 2
VASP calculation (PBE) on a relaxed structure of TbPr2I6.

abc: 7.9664 7.9664 12.1594
angles: 90.00 90.00 90.00
Closest atoms and distances in Å follow each position.
Space group P4_2/mnm (No. 136)
Unique sites:
Tb 0.0000 0.0000 0.0000 (multiplicity 2)  6 I 3.09-3.10
Pr 0.0000 0.0000 0.3423 (multiplicity 4)  6 I 3.19-3.26
I 0.2107 0.2107 0.1636 (multiplicity 8)  1 Tb 3.10, 2 Pr 3.22-3.26
I 0.2258 0.2258 0.5000 (multiplicity 4)  1 Tb 3.09, 2 Pr 3.19

Density: 5.174 g cm⁻³
Total moment: 0.64 μB per formula unit
Total energy: -68.03 eV per cell
ΔE_f (raw): -10.52 eV per formula unit



> total energy of number 2 (TbPr2I6)?

-68.03 eV per cell



> Among the records above, which one has the lowest ΔE_f (raw)?

Na2Ca2BiO6



> Which of these has the highest total moment?

Na2Ca2BiO6